Computed, not measured: crystalline CoC2ClF at its relaxed geometry at the GGA+U level of DFT.

Values from the calculation:
- SG = P4/mmm, No. 123
- electronic total energy (eV/atom) = -4.12
- size of the total moment (μB/cell) = 0.0

Lattice parameters (Å, degrees): 3.789 3.887 3.789 90.00 90.00 90.00
Positions (direct):
C 0.000 0.000 0.500
C 0.500 0.000 0.000
F 0.000 0.500 0.000
Co 0.000 0.000 0.000
Cl 0.500 0.500 0.500